No. 1
A geometry-optimized Mn2FeH structure, computed with PBE-GGA.

Output
Symmetry = No. 12
ΔE to the lowest computed polymorph = 32 kJ/mol of formula units
Total DFT energy (no corrections) = -7.446 eV/atom
Calculated density = 7.7 g/cm3

Lattice parameters (Å, degrees): 4.189 2.733 6.377 90.00 101.74 90.00
Positions (direct):
Mn: 0.109 0.000 0.321
Mn: 0.391 0.500 0.679
Mn: 0.609 0.500 0.321
Mn: 0.891 0.000 0.679
Fe: 0.000 0.500 0.000
Fe: 0.500 0.000 0.000
H: 0.000 0.500 0.500
H: 0.500 0.000 0.500


No. 2
A geometry-optimized MnFe2H4 structure, computed with PBE-GGA.

Output
Symmetry = No. 63
Total DFT energy (no corrections) = -5.586 eV/atom
Calculated density = 6.3 g/cm3

Lattice parameters (Å, degrees): 4.518 4.518 7.774 90.00 90.00 145.27
Positions (direct):
Mn: 0.099 0.901 0.750
Mn: 0.901 0.099 0.250
Fe: 0.362 0.638 0.567
Fe: 0.362 0.638 0.933
Fe: 0.638 0.362 0.067
Fe: 0.638 0.362 0.433
H: 0.000 0.000 0.000
H: 0.000 0.000 0.500
H: 0.267 0.733 0.128
H: 0.267 0.733 0.372
H: 0.466 0.534 0.750
H: 0.534 0.466 0.250
H: 0.733 0.267 0.628
H: 0.733 0.267 0.872